1.
The following is a DFT calculation (PBE) of crystalline NpMnTc2P2 at its relaxed geometry.

Cell: 3.9642 5.7583 7.8212 Å, 90.00 90.00 90.00°
Last column: nearest neighbours and their distance in Å.
Positions (direct):
Tc  0.0000  0.3807  0.1845  4 P 2.32-2.40
Tc  0.5000  0.0345  0.0650  3 P 2.43-2.50
Tc  0.5000  0.5345  0.9350  3 P 2.43-2.50
Tc  0.0000  0.8807  0.8155  4 P 2.32-2.40
P  0.0000  0.7733  0.1012  4 Tc 2.32-2.50, 2 Mn 2.54
P  0.5000  0.2551  0.3296  1 Mn 2.37, 3 Tc 2.40-2.43
P  0.5000  0.7551  0.6704  1 Mn 2.37, 3 Tc 2.40-2.43
P  0.0000  0.2733  0.8988  4 Tc 2.32-2.50, 2 Mn 2.54
Np  0.0000  0.4386  0.5688  5 P 2.75-2.92, 2 Mn 2.78, 1 Tc 3.02, 2 Np 3.07
Np  0.0000  0.9386  0.4312  5 P 2.75-2.92, 2 Mn 2.78, 1 Tc 3.02, 2 Np 3.07
Mn  0.5000  0.1633  0.7133  3 P 2.37-2.54
Mn  0.5000  0.6633  0.2867  3 P 2.37-2.54

Spin magnetization ... 1.62 μB/cell
E ... -0.346 Ha/atom

=====

2.
The following is a DFT calculation (PBE) of crystalline KCoC3 at its relaxed geometry.

Cell: 4.1906 4.1906 4.1906 Å, 90.00 90.00 90.00°
Last column: nearest neighbours and their distance in Å.
Positions (direct):
C  0.0000  0.5000  0.0000  2 K 2.10
C  0.0000  0.0000  0.5000  2 K 2.10
C  0.5000  0.0000  0.0000  2 K 2.10
K  0.0000  0.0000  0.0000  6 C 2.10
Co  0.5000  0.5000  0.5000  12 C 2.96

ΔE to the lowest computed polymorph ... 2600 meV per atom
Spin magnetization ... 0.00 μB/cell
E ... -0.091 Ha/atom